# 1
The following is a DFT calculation (PBE-GGA) of a geometry-optimized NaTaTl structure.

Computed properties:
* E above lowest polymorph: 0 meV/atom

POSCAR file:
```
NaTaTl
1.0
4.042 -1.315 2.125
2.262 3.025 2.883
0.073 -0.788 4.686
Ta Tl Na
1 1 1
Direct
0.750 0.750 0.750
0.000 0.000 0.000
0.250 0.250 0.250
```



# 2
The following is a DFT calculation (PBE-GGA) of a geometry-optimized NaTmTa structure.

Computed properties:
* E_tot: -4.141 eV/atom

POSCAR file:
```
NaTmTa
1.0
0.000 3.576 3.576
3.576 0.000 3.576
3.576 3.576 0.000
Ta Tm Na
1 1 1
Direct
0.750 0.750 0.750
0.000 0.000 0.000
0.250 0.250 0.250
```



# 3
The following is a DFT calculation (PBE-GGA) of a geometry-optimized NaUTa structure.

Computed properties:
* E above lowest polymorph: 280 meV/atom

POSCAR file:
```
NaUTa
1.0
4.193 -2.131 0.134
0.644 -3.753 2.764
0.533 -4.266 -1.912
U Na Ta
1 1 1
Direct
0.000 0.000 0.000
0.250 0.250 0.250
0.750 0.750 0.750
```



# 4
The following is a DFT calculation (PBE-GGA) of a geometry-optimized NaUTa structure.

Computed properties:
* E above lowest polymorph: 0 meV/atom

POSCAR file:
```
NaUTa
1.0
-0.711 1.861 4.220
-4.132 1.898 1.047
-2.839 -2.120 3.037
Na Ta U
1 1 1
Direct
0.750 0.750 0.750
0.000 0.000 0.000
0.250 0.250 0.250
```



# 5
The following is a DFT calculation (PBE-GGA) of a geometry-optimized NaYTa structure.

Computed properties:
* E above lowest polymorph: 0 meV/atom

POSCAR file:
```
NaYTa
1.0
0.000 3.612 3.612
3.612 0.000 3.612
3.612 3.612 0.000
Y Na Ta
1 1 1
Direct
0.750 0.750 0.750
0.250 0.250 0.250
0.000 0.000 0.000
```



# 6
The following is a DFT calculation (PBE-GGA) of a geometry-optimized NaTb5 structure.

Computed properties:
* E_tot: -3.597 eV/atom

POSCAR file:
```
NaTb5
1.0
-2.628 2.088 5.717
-1.730 -5.897 -2.485
4.298 -2.474 2.879
Na Tb
1 5
Direct
0.000 0.000 0.000
0.333 0.667 0.000
0.500 0.500 0.500
0.667 0.333 0.000
0.500 0.000 0.500
0.000 0.500 0.500
```



# 7
The following is a DFT calculation (PBE-GGA) of a geometry-optimized NaTb2 structure.

Computed properties:
* E above lowest polymorph: 0 meV/atom

POSCAR file:
```
NaTb2
1.0
0.000 3.762 3.762
3.762 0.000 3.762
3.762 3.762 0.000
Tb Na
2 1
Direct
0.250 0.250 0.250
0.750 0.750 0.750
0.000 0.000 0.000
```



# 8
The following is a DFT calculation (PBE-GGA) of a geometry-optimized NaTb2 structure.

Computed properties:
* E above lowest polymorph: 1571 meV/atom

POSCAR file:
```
NaTb2
1.0
4.746 2.740 7.751
-4.746 2.740 7.751
0.000 -5.481 7.751
Na Tb
2 4
Direct
0.500 0.500 0.500
0.250 0.250 0.250
0.375 0.375 0.375
0.375 0.375 0.875
0.375 0.875 0.375
0.875 0.375 0.375
```



# 9
The following is a DFT calculation (PBE-GGA) of a geometry-optimized NaTbTc structure.

Computed properties:
* E_tot: -4.106 eV/atom

POSCAR file:
```
NaTbTc
1.0
0.488 -4.116 -2.174
-3.327 -1.510 -2.925
0.818 -0.131 -4.606
Tc Na Tb
1 1 1
Direct
0.750 0.750 0.750
0.000 0.000 0.000
0.250 0.250 0.250
```



# 10
The following is a DFT calculation (PBE-GGA) of a geometry-optimized NaTbTc3 structure.

Computed properties:
* E_tot: -6.456 eV/atom

POSCAR file:
```
NaTbTc3
1.0
-1.312 1.641 -1.742
-5.682 -1.804 2.567
-2.426 3.458 5.014
Tc Na Tb
3 1 1
Direct
0.896 0.521 0.381
0.888 0.103 0.506
0.889 0.383 0.103
0.390 0.663 0.675
0.397 0.996 0.001
```



# 11
The following is a DFT calculation (PBE-GGA) of a geometry-optimized NaTbTe structure.

Computed properties:
* E above lowest polymorph: 0 meV/atom

POSCAR file:
```
NaTbTe
1.0
0.000 3.583 3.583
3.583 0.000 3.583
3.583 3.583 0.000
Tb Te Na
1 1 1
Direct
0.750 0.750 0.750
0.000 0.000 0.000
0.250 0.250 0.250
```



# 12
The following is a DFT calculation (PBE-GGA) of a geometry-optimized NaTbZnTe3 structure.

Computed properties:
* E above lowest polymorph: 101 meV/atom

POSCAR file:
```
NaTbZnTe3
1.0
-2.249 -4.342 7.280
-2.486 -2.769 -2.419
14.197 -10.898 -2.114
Te Zn Na Tb
12 4 4 4
Direct
0.127 0.250 0.061
0.279 0.250 0.284
0.721 0.750 0.716
0.500 0.250 0.919
0.779 0.250 0.216
0.000 0.750 0.419
0.627 0.250 0.439
0.373 0.750 0.561
0.500 0.750 0.081
0.873 0.750 0.939
0.000 0.250 0.581
0.221 0.750 0.784
0.111 0.750 0.650
0.389 0.250 0.150
0.889 0.250 0.350
0.611 0.750 0.850
0.949 0.250 0.788
0.449 0.250 0.712
0.551 0.750 0.288
0.051 0.750 0.212
0.766 0.250 0.046
0.734 0.750 0.546
0.266 0.250 0.454
0.234 0.750 0.954
```



Calculated values (Å³/atom) of volume for the records, taken in order: 25.30 30.48 24.55 23.95 31.42 36.37 35.50 100.81 24.16 20.38 30.67 29.23.